This record from Alexandria via LeMat-Bulk describes crystalline LiCa2SnAu6 at its relaxed geometry. The functional is GGA-PBE.

```
10
Lattice="5.576 0.000 0.000 2.788 5.948 0.000 2.747 -0.833 6.603" Properties=species:S:1:pos:R:3 pbc="T T T"
Li 0.000 0.000 0.000
Ca 2.786 1.131 1.672
Ca 8.326 3.984 4.931
Sn 5.556 2.557 3.301
Au 4.157 1.181 5.534
Au 5.533 5.169 4.032
Au 4.180 3.925 1.069
Au 6.931 1.190 5.534
Au 5.578 -0.054 2.571
Au 6.955 3.934 1.068
```

Calculated density ... 10.52 g/cm³
Formation enthalpy at 0 K ... -0.47 eV/atom
Space-group type ... P-1 (2)
Raw total energy ... -34.33 eV per formula unit



This record from Alexandria via LeMat-Bulk describes crystalline SrLi2CaAu4 at its relaxed geometry. The functional is GGA-PBE.

```
8
Lattice="2.278 1.315 10.157 -2.278 1.315 10.157 0.000 -2.630 10.157" Properties=species:S:1:pos:R:3 pbc="T T T"
Sr 0.000 0.000 0.000
Li 0.000 0.000 7.477
Li 0.000 0.000 22.993
Ca 0.000 0.000 15.235
Au 0.000 0.000 3.344
Au 0.000 0.000 12.125
Au 0.000 0.000 18.345
Au 0.000 0.000 27.126
```

Calculated density ... 8.46 g/cm³
Formation enthalpy at 0 K ... -0.67 eV/atom
Space-group type ... R-3m (166)
Raw total energy ... -25.98 eV per formula unit



This record from Alexandria via LeMat-Bulk describes crystalline SrLiCa2Au at its relaxed geometry. The functional is GGA-PBE.

```
5
Lattice="5.794 0.000 0.000 0.000 5.794 0.000 0.000 0.000 5.339" Properties=species:S:1:pos:R:3 pbc="T T T"
Sr 0.000 0.000 0.000
Li 2.897 2.897 0.000
Ca 0.000 2.897 2.670
Ca 2.897 0.000 2.670
Au 2.897 2.897 2.670
```

Calculated density ... 3.44 g/cm³
Formation enthalpy at 0 K ... -0.25 eV/atom
Energy above the most stable polymorph in this dataset ... 10 meV/atom
Space-group type ... P4/mmm (123)
Raw total energy ... -12.14 eV per formula unit



Question: What is the raw total energy in the third record?
Answer: -12.14 eV per formula unit



Question: calculated density of number 1 (LiCa2SnAu6)?
Answer: 10.52 g/cm³



Question: Which of these has the lowest calculated density?
Answer: SrLiCa2Au



Question: Look up the calculated density of the first one.
Answer: 10.52 g/cm³